1.
This record from Alexandria via LeMat-Bulk describes crystalline LaYCuRh at its relaxed geometry. The functional is GGA-PBE.

Results
The calculation puts the volume at 93 Å³/cell. The formation enthalpy at 0 K is -524.8 meV/atom.

a b c (Å): 3.916 4.398 5.719
angles (deg): 90.00 110.02 90.00
Fractional coordinates of all 4 atoms:
1 La 0.863 0.500 0.727
2 Y 0.137 0.000 0.274
3 Cu 0.578 0.500 0.155
4 Rh 0.422 0.000 0.844

2.
This record from Alexandria via LeMat-Bulk describes crystalline Dy2ErRh2 at its relaxed geometry. The functional is GGA-PBE.

Results
The calculation puts the volume at 240 Å³/cell. The value obtained for the distance to the lowest polymorph of the same formula is 0.000 eV per atom. The formation enthalpy at 0 K is -646.0 meV/atom.

a b c (Å): 3.951 7.187 8.680
angles (deg): 90.00 103.16 90.00
Fractional coordinates of all 10 atoms:
1 Dy 0.031 0.249 0.062
2 Dy 0.190 0.532 0.381
3 Dy 0.810 0.032 0.619
4 Dy 0.969 0.749 0.938
5 Er 0.620 0.915 0.240
6 Er 0.380 0.415 0.760
7 Rh 0.554 0.549 0.109
8 Rh 0.193 0.121 0.386
9 Rh 0.807 0.621 0.614
10 Rh 0.446 0.049 0.891

3.
This record from Alexandria via LeMat-Bulk describes crystalline MoP at its relaxed geometry. The functional is GGA-PBE.

Results
The calculation puts the volume at 232 Å³/cell. The formation enthalpy at 0 K is -173.3 meV/atom.

a b c (Å): 8.747 8.747 3.499
angles (deg): 90.00 90.00 120.00
Fractional coordinates of all 12 atoms:
1 Mo 0.873 0.358 0.250
2 Mo 0.514 0.873 0.750
3 Mo 0.642 0.514 0.250
4 Mo 0.127 0.642 0.750
5 Mo 0.486 0.127 0.250
6 Mo 0.358 0.486 0.750
7 P 0.707 0.040 0.250
8 P 0.667 0.707 0.750
9 P 0.960 0.667 0.250
10 P 0.293 0.960 0.750
11 P 0.333 0.293 0.250
12 P 0.040 0.333 0.750

4.
This record from Alexandria via LeMat-Bulk describes crystalline Cd2Hg3 at its relaxed geometry. The functional is GGA-PBE.

Results
The calculation puts the volume at 307 Å³/cell. The value obtained for the distance to the lowest polymorph of the same formula is 0.042 eV per atom. The formation enthalpy at 0 K is 65.8 meV/atom.

a b c (Å): 7.810 7.810 7.356
angles (deg): 57.93 57.93 60.00
Fractional coordinates of all 10 atoms:
1 Hg 0.102 0.750 0.750
2 Hg 0.750 0.398 0.750
3 Hg 0.398 0.102 0.750
4 Hg 0.250 0.602 0.250
5 Hg 0.602 0.898 0.250
6 Hg 0.898 0.250 0.250
7 Cd 0.835 0.835 0.495
8 Cd 0.335 0.335 0.995
9 Cd 0.165 0.165 0.505
10 Cd 0.665 0.665 0.005

5.
This record from Alexandria via LeMat-Bulk describes crystalline HoPu2Cu2Ge2 at its relaxed geometry. The functional is GGA-PBE.

Results
The calculation puts the volume at 124 Å³/cell. The formation enthalpy at 0 K is -281.0 meV/atom.

a b c (Å): 4.025 4.025 9.151
angles (deg): 77.30 77.30 60.00
Fractional coordinates of all 7 atoms:
1 Ho 0.000 0.000 0.000
2 Pu 0.151 0.151 0.548
3 Pu 0.849 0.849 0.452
4 Cu 0.589 0.589 0.233
5 Cu 0.411 0.411 0.767
6 Ge 0.739 0.739 0.784
7 Ge 0.261 0.261 0.216

6.
This record from Alexandria via LeMat-Bulk describes crystalline PaZn9Ga3 at its relaxed geometry. The functional is GGA-PBE.

Results
The calculation puts the volume at 215 Å³/cell. The formation enthalpy at 0 K is -49.8 meV/atom.

a b c (Å): 5.555 6.924 6.773
angles (deg): 79.98 65.79 64.89
Fractional coordinates of all 13 atoms:
1 Pa 0.000 0.000 0.000
2 Zn 0.718 0.785 0.787
3 Zn 0.282 0.215 0.213
4 Zn 0.495 0.215 0.787
5 Zn 0.505 0.785 0.213
6 Zn 0.655 0.358 0.354
7 Zn 0.345 0.642 0.646
8 Zn 0.991 0.642 0.354
9 Zn 0.009 0.358 0.646
10 Zn 0.000 0.500 0.000
11 Ga 0.500 0.500 0.000
12 Ga 0.000 0.000 0.500
13 Ga 0.500 0.000 0.500

7.
This record from Alexandria via LeMat-Bulk describes crystalline HfZr2Sb2 at its relaxed geometry. The functional is GGA-PBE.

Results
The calculation puts the volume at 227 Å³/cell. For the formation energy (no corrections), the calculation gives -0.582 eV per atom. The value obtained for the distance to the lowest polymorph of the same formula is 0.000 eV per atom.

a b c (Å): 7.709 7.709 3.813
angles (deg): 90.00 90.00 90.00
Fractional coordinates of all 10 atoms:
1 Sb 0.355 0.855 0.000
2 Sb 0.855 0.645 0.000
3 Sb 0.645 0.145 0.000
4 Sb 0.145 0.355 0.000
5 Hf 0.000 0.000 0.000
6 Hf 0.500 0.500 0.000
7 Zr 0.154 0.654 0.500
8 Zr 0.654 0.846 0.500
9 Zr 0.846 0.346 0.500
10 Zr 0.346 0.154 0.500

8.
This record from Alexandria via LeMat-Bulk describes crystalline FeCuP2 at its relaxed geometry. The functional is GGA-PBE.

Results
The calculation puts the volume at 50 Å³/cell. The formation enthalpy at 0 K is -43.3 meV/atom.

a b c (Å): 7.191 7.191 7.191
angles (deg): 23.00 23.00 23.00
Fractional coordinates of all 4 atoms:
1 Cu 0.250 0.250 0.250
2 Fe 0.750 0.750 0.750
3 P 0.007 0.007 0.007
4 P 0.493 0.493 0.493

9.
This record from Alexandria via LeMat-Bulk describes crystalline Ce2NdEr6Tm3 at its relaxed geometry. The functional is GGA-PBE.

Results
The calculation puts the volume at 368 Å³/cell. The formation enthalpy at 0 K is 52.8 meV/atom.

a b c (Å): 6.089 6.089 11.646
angles (deg): 95.01 95.01 119.97
Fractional coordinates of all 12 atoms:
1 Ce 0.333 0.667 0.000
2 Ce 0.667 0.333 0.000
3 Nd 0.000 0.000 0.000
4 Er 0.915 0.579 0.748
5 Er 0.749 0.749 0.252
6 Er 0.085 0.421 0.252
7 Er 0.579 0.915 0.748
8 Er 0.251 0.251 0.748
9 Er 0.421 0.085 0.252
10 Tm 0.166 0.834 0.500
11 Tm 0.834 0.166 0.500
12 Tm 0.500 0.500 0.500

10.
This record from Alexandria via LeMat-Bulk describes crystalline ZrFe2Ni2 at its relaxed geometry. The functional is GGA-PBE.

Results
The calculation puts the volume at 134 Å³/cell. The value obtained for the distance to the lowest polymorph of the same formula is 0.008 eV per atom. The formation enthalpy at 0 K is -23.7 meV/atom.

a b c (Å): 7.073 7.073 2.680
angles (deg): 90.00 90.00 90.00
Fractional coordinates of all 10 atoms:
1 Ni 0.375 0.875 0.000
2 Ni 0.875 0.625 0.000
3 Ni 0.625 0.125 0.000
4 Ni 0.125 0.375 0.000
5 Fe 0.168 0.668 0.500
6 Fe 0.668 0.832 0.500
7 Fe 0.832 0.332 0.500
8 Fe 0.332 0.168 0.500
9 Zr 0.000 0.000 0.000
10 Zr 0.500 0.500 0.000

11.
This record from Alexandria via LeMat-Bulk describes crystalline MgTa2Te at its relaxed geometry. The functional is GGA-PBE.

Results
The calculation puts the volume at 80 Å³/cell. For the formation energy (no corrections), the calculation gives 0.115 eV per atom. The value obtained for the distance to the lowest polymorph of the same formula is 0.000 eV per atom.

a b c (Å): 3.572 3.572 6.261
angles (deg): 90.00 90.00 90.00
Fractional coordinates of all 4 atoms:
1 Mg 0.500 0.500 0.761
2 Ta 0.000 0.000 0.016
3 Ta 0.500 0.500 0.230
4 Te 0.000 0.000 0.493

12.
This record from Alexandria via LeMat-Bulk describes crystalline NiBiSbI2 at its relaxed geometry. The functional is GGA-PBE.

Results
The calculation puts the volume at 141 Å³/cell. For the formation energy (no corrections), the calculation gives 0.263 eV per atom. The value obtained for the distance to the lowest polymorph of the same formula is 0.000 eV per atom.

a b c (Å): 5.190 5.190 5.231
angles (deg): 90.00 90.00 90.00
Fractional coordinates of all 5 atoms:
1 I 0.000 0.500 0.000
2 I 0.500 0.000 0.000
3 Sb 0.000 0.000 0.500
4 Bi 0.500 0.500 0.500
5 Ni 0.000 0.000 0.000